# K3Y

A geometry-optimized K3Y structure (PBE-GGA, Alexandria via LeMat-Bulk).

POSCAR file:
```
K3Y
1.0
6.422 3.571 -4.396
-6.454 -3.786 -4.164
-3.508 6.135 -0.141
Y K
2 6
direct
0.667 0.333 0.250 Y
0.333 0.667 0.750 Y
0.172 0.828 0.250 K
0.656 0.828 0.250 K
0.172 0.344 0.250 K
0.828 0.656 0.750 K
0.828 0.172 0.750 K
0.344 0.172 0.750 K
```

Summary:
For the formation energy, the calculation gives 556 meV per atom. As for the electronic total energy: -1.883 eV per atom. The value obtained for the theoretical density is 1.526 Mg/m³. Its magnetic moment is 1.15 μB/f.u. The value obtained for the calculated volume is 448.8 Å³ per cell.